--- a ---
## SrMg2TlRh (PBE)

Data for SrMg2TlRh after structural relaxation.

Summary:
N(E_F), states/eV per atom: 0.66

Lattice parameters (Å, degrees): 5.0487 5.0487 5.2940 90.00 90.00 90.00
Space group P4/mmm (No. 123)
One atom of each set of equivalent atoms:
Sr  0.0000  0.0000  0.0000
Mg  0.0000  0.5000  0.5000
Tl  0.5000  0.5000  0.0000
Rh  0.5000  0.5000  0.5000

---

--- b ---
## SrMg2TlRh (PBE)

Data for SrMg2TlRh after structural relaxation.

Summary:
N(E_F), states/eV per atom: 0.54

Lattice parameters (Å, degrees): 5.0538 5.0538 5.6386 90.00 90.00 90.00
Space group P4/mmm (No. 123)
One atom of each set of equivalent atoms:
Sr  0.0000  0.0000  0.0000
Mg  0.0000  0.5000  0.5000
Tl  0.5000  0.5000  0.0000
Rh  0.0000  0.0000  0.5000

---

Of them, b has the lowest stability.